Pm3Y4Er5 | the Alexandria database | PBE-GGA | optimized geometry; formation energy from the elements = 0.25 eV per formula unit; space group = P-1, No. 2; energy relative to the lowest polymorph listed for this composition = 0 meV/atom
1.0
6.899 -0.527 1.719
-5.175 7.657 -6.445
4.186 -4.137 11.414
Pm Y Er
3 4 5
Direct
0.581 0.165 0.332
0.000 0.000 0.500
0.419 0.835 0.668
0.917 0.835 0.668
0.831 0.664 0.832
0.169 0.336 0.168
0.083 0.165 0.332
0.332 0.667 0.835
0.500 0.000 0.500
0.750 0.499 0.000
0.250 0.501 0.000
0.668 0.333 0.165

---

Li3Cd7Ag2 | the Alexandria database | PBE-GGA | optimized geometry; formation energy from the elements = -1.28 eV per formula unit; space group = P2/m, No. 10; energy relative to the lowest polymorph listed for this composition = 0 meV/atom
1.0
3.050 0.000 0.000
0.000 4.879 0.193
0.000 -1.751 16.564
Li Cd Ag
3 7 2
Direct
0.500 0.500 0.000
0.000 0.219 0.371
0.000 0.781 0.629
0.500 0.741 0.457
0.500 0.259 0.543
0.000 0.644 0.139
0.000 0.000 0.000
0.000 0.356 0.861
0.500 0.834 0.799
0.500 0.166 0.201
0.500 0.691 0.293
0.500 0.309 0.707

---

Cs4In2Cl | the Alexandria database | PBE-GGA | optimized geometry; space group = I4/mmm, No. 139; ΔE_f (raw) = -0.470 eV per atom
1.0
7.324 0.000 0.000
0.000 7.324 0.000
3.662 3.662 8.813
Cs Cl In
4 1 2
Direct
0.809 0.809 0.382
0.191 0.191 0.618
0.000 0.500 0.000
0.500 0.000 0.000
0.000 0.000 0.000
0.582 0.582 0.837
0.418 0.418 0.163

---

LiPuTlIr | the Alexandria database | PBE-GGA | optimized geometry; formation energy from the elements = -0.59 eV per formula unit; space group = F-43m, No. 216
1.0
-1.293 -1.855 -4.257
3.374 -1.301 -3.187
0.767 -4.667 -0.929
Tl Ir Li Pu
1 1 1 1
Direct
0.250 0.250 0.250
0.500 0.500 0.500
0.000 0.000 0.000
0.750 0.750 0.750

---

FeNiW2 | the Alexandria database | PBE-GGA | optimized geometry; formation energy from the elements = 0.43 eV per formula unit; space group = Pm, No. 6; energy relative to the lowest polymorph listed for this composition = 33 meV/atom
1.0
4.296 0.000 0.000
0.000 2.646 -0.013
0.000 0.536 4.760
Fe Ni W
1 1 2
Direct
0.000 0.598 0.478
0.500 0.626 0.770
0.000 0.029 0.964
0.500 0.246 0.288

---

K2SrCa | the Alexandria database | PBE-GGA | optimized geometry; formation energy from the elements = 1.29 eV per formula unit; space group = I-42d, No. 122
1.0
11.021 0.000 0.000
0.000 11.021 0.000
5.510 5.510 4.047
Sr Ca K
2 2 4
Direct
0.000 0.000 0.000
0.750 0.250 0.500
0.500 0.500 0.000
0.250 0.750 0.500
0.615 0.125 0.250
0.135 0.625 0.250
0.375 0.385 0.750
0.875 0.865 0.750

---

AlAg4Te | the Alexandria database | PBE-GGA | optimized geometry; space group = F-43m, No. 216; ΔE_f (raw) = 0.177 eV per atom
1.0
-2.914 0.374 4.783
-4.429 3.433 0.327
-5.185 -2.129 0.302
Al Ag Te
1 4 1
Direct
0.750 0.750 0.750
0.874 0.375 0.375
0.375 0.375 0.874
0.375 0.874 0.375
0.375 0.375 0.375
0.000 0.000 0.000

---

PBrO2 | the Alexandria database | PBE-GGA | optimized geometry; space group = R-3m, No. 166; energy relative to the lowest polymorph listed for this composition = 1024 meV/atom; ΔE_f (raw) = -0.365 eV per atom
1.0
2.329 -5.058 6.938
5.084 -4.480 5.765
3.783 -2.477 7.662
P O Br
1 2 1
Direct
0.000 0.000 0.000
0.944 0.944 0.944
0.056 0.056 0.056
0.500 0.500 0.500

---

Li3ScI6 | the Alexandria database | PBE-GGA | optimized geometry; space group = P2_1/c, No. 14; ΔE_f (raw) = -1.149 eV per atom
1.0
-2.831 4.938 -4.894
-3.390 -5.710 -3.801
-9.259 1.126 6.566
Li Sc I
6 2 12
Direct
0.486 0.962 0.771
0.500 0.500 0.000
0.514 0.038 0.229
0.986 0.538 0.271
0.000 0.000 0.500
0.014 0.462 0.729
0.500 0.500 0.500
0.000 0.000 0.000
0.670 0.177 0.941
0.656 0.180 0.585
0.630 0.411 0.264
0.370 0.589 0.736
0.344 0.820 0.415
0.330 0.823 0.059
0.170 0.323 0.441
0.156 0.320 0.085
0.130 0.089 0.764
0.870 0.911 0.236
0.844 0.680 0.915
0.830 0.677 0.559

---

P5Cl4 | the Alexandria database | PBE-GGA | optimized geometry; space group = I4/mmm, No. 139; energy relative to the lowest polymorph listed for this composition = 0 meV/atom; ΔE_f (raw) = 0.099 eV per atom
1.0
-2.332 -8.245 -4.722
-0.787 8.042 5.515
-0.765 5.242 -8.225
P Cl
5 4
Direct
0.000 0.000 0.000
0.714 0.286 0.000
0.286 0.714 0.000
0.286 0.286 0.572
0.714 0.714 0.428
0.836 0.000 0.836
0.164 0.000 0.164
0.000 0.164 0.164
0.000 0.836 0.836

---

NiGe2B | the Alexandria database | PBE-GGA | optimized geometry; formation energy from the elements = 1.63 eV per formula unit; space group = I-42d, No. 122
1.0
5.320 0.000 0.000
0.000 5.320 0.000
2.660 2.660 4.591
Ni Ge B
2 4 2
Direct
0.000 0.000 0.000
0.750 0.250 0.500
0.582 0.125 0.250
0.168 0.625 0.250
0.375 0.418 0.750
0.875 0.832 0.750
0.500 0.500 0.000
0.250 0.750 0.500

---

HfBOs2 | the Alexandria database | PBE-GGA | optimized geometry; formation energy from the elements = 1.70 eV per formula unit; space group = I-42d, No. 122
1.0
-1.731 -2.380 2.653
3.031 -2.534 -0.296
4.537 1.483 7.248
Hf B Os
2 2 4
Direct
0.000 0.000 0.000
0.750 0.250 0.500
0.500 0.500 0.000
0.250 0.750 0.500
0.544 0.125 0.250
0.206 0.625 0.250
0.375 0.456 0.750
0.875 0.794 0.750

---

LaGaAsSe2 | the Alexandria database | PBE-GGA | optimized geometry; space group = P4/mmm, No. 123; energy relative to the lowest polymorph listed for this composition = 0 meV/atom; ΔE_f (raw) = -0.623 eV per atom
1.0
5.055 0.000 0.000
0.000 5.055 0.000
0.000 0.000 4.875
As Ga Se La
1 1 2 1
Direct
0.000 0.000 0.500
0.000 0.000 0.000
0.000 0.500 0.000
0.500 0.000 0.000
0.500 0.500 0.500

---

KPuCu2Se4 | the Alexandria database | PBE-GGA | optimized geometry; space group = I222, No. 23; ΔE_f (raw) = -0.584 eV per atom
1.0
6.926 0.000 0.000
3.463 5.358 0.260
3.463 0.698 5.319
K Pu Cu Se
1 1 2 4
Direct
0.000 0.000 0.000
0.500 0.500 0.500
0.250 0.250 0.250
0.750 0.750 0.750
0.497 0.043 0.503
0.043 0.957 0.497
0.957 0.503 0.043
0.503 0.497 0.957

---

Ce5Ge5Os2 | the Alexandria database | PBE-GGA | optimized geometry; formation energy from the elements = -6.89 eV per formula unit; space group = C2/m, No. 12
1.0
4.390 0.000 0.000
-2.195 7.611 -1.021
0.000 -5.835 8.803
Ce Ge Os
5 5 2
Direct
0.500 0.000 0.500
0.622 0.244 0.921
0.685 0.369 0.321
0.315 0.631 0.679
0.378 0.756 0.079
0.054 0.108 0.344
0.754 0.509 0.794
0.246 0.491 0.206
0.946 0.892 0.656
0.000 0.000 0.000
0.153 0.305 0.757
0.847 0.695 0.243

---

Tb2Dy4Ho2Tm | the Alexandria database | PBE-GGA | optimized geometry; formation energy from the elements = 0.04 eV per formula unit; space group = C2/m, No. 12
1.0
-1.455 -3.250 0.090
7.962 -1.478 4.812
-7.221 3.373 5.088
Tb Dy Ho Tm
2 4 2 1
Direct
0.852 0.704 0.334
0.148 0.296 0.666
0.815 0.630 0.667
0.185 0.370 0.333
0.518 0.037 0.332
0.482 0.963 0.668
0.334 0.667 0.000
0.666 0.333 0.000
0.000 0.000 0.000

---

LaSiTe2 | the Alexandria database | PBE-GGA | optimized geometry; space group = Pm, No. 6; ΔE_f (raw) = -0.810 eV per atom
1.0
4.402 0.000 0.000
0.000 4.456 0.007
0.000 2.221 5.828
La Si Te
1 1 2
Direct
0.000 0.698 0.477
0.500 0.516 0.849
0.000 0.998 0.878
0.500 0.288 0.296

---

LiHg6Pd5 | the Alexandria database | PBE-GGA | optimized geometry; formation energy from the elements = -1.80 eV per formula unit; space group = C2/m, No. 12; energy relative to the lowest polymorph listed for this composition = 56 meV/atom
1.0
-7.351 2.708 -4.074
-2.038 -4.713 -1.902
-3.476 -2.930 3.101
Li Hg Pd
1 6 5
Direct
0.000 0.000 0.000
0.749 0.085 0.335
0.251 0.581 0.335
0.245 0.252 0.000
0.755 0.748 0.000
0.749 0.419 0.665
0.251 0.915 0.665
0.500 0.160 0.681
0.000 0.330 0.340
0.500 0.500 0.000
0.000 0.670 0.660
0.500 0.840 0.319

---

SmY4Er3S8 | the Alexandria database | PBE-GGA | optimized geometry; space group = R-3m, No. 166; ΔE_f (raw) = -1.977 eV per atom
1.0
7.824 0.000 0.000
0.000 7.821 -0.008
-3.912 -3.908 5.535
Sm Y Er S
1 4 3 8
Direct
0.000 0.500 0.000
0.500 0.000 0.000
0.500 0.000 0.500
0.000 0.000 0.000
0.000 0.000 0.500
0.500 0.500 0.000
0.500 0.500 0.500
0.000 0.500 0.500
0.253 0.749 0.996
0.253 0.749 0.506
0.252 0.256 0.504
0.743 0.749 0.996
0.257 0.251 0.004
0.748 0.744 0.496
0.747 0.251 0.494
0.747 0.251 0.004

---

PrHoSe | the Alexandria database | PBE-GGA | optimized geometry; space group = P3m1, No. 156; energy relative to the lowest polymorph listed for this composition = 0 meV/atom; ΔE_f (raw) = -1.091 eV per atom
1.0
-2.402 -2.849 1.257
2.580 -0.730 -2.876
4.571 -1.838 4.567
Pr Ho Se
1 1 1
Direct
0.000 0.000 0.949
0.667 0.333 0.396
0.333 0.667 0.656